Here is a relaxed structure of CoRu from Alexandria via LeMat-Bulk. Energies are from GGA-PBEsol.

abc: 5.0741 5.0741 5.0741
angles: 90.00 90.00 90.00
Space group F-43m (No. 216)
Inequivalent atoms, fractional coordinates:
1 Co 0.0000 0.0000 0.0000 x4
2 Ru 0.2500 0.2500 0.2500 x4

* N(E_F): 0.74 states/eV/atom
* M_tot: 0.0 μB/f.u.
* uncorrected energy: -15.3 eV per formula unit
* formation energy from the elements: 125 kJ/mol of atoms